Entry 1:
Compound: Tb2NdTl4
Source: Alexandria
Functional: PBE
Structure: optimized geometry

Cell lengths 7.706, 7.706, 7.334 Å; angles 90.00, 90.00, 90.00 degrees
Space group I4/mmm (No. 139)
Unique sites:
1 Tb 0.000 0.500 0.000 x4
2 Nd 0.000 0.000 0.000 x2
3 Tl 0.250 0.250 0.250 x8

Output
- E above lowest polymorph: 0 meV per atom
- Magnetization: 1.09 μB per cell
- E: -3.584 eV/atom
- DFT formation energy: -0.23 eV/atom

---

Entry 2:
Compound: Mn4RuPt
Source: Alexandria
Functional: PBE
Structure: optimized geometry

Cell lengths 6.649, 6.649, 6.649 Å; angles 90.00, 90.00, 90.00 degrees
Space group F-43m (No. 216)
Unique sites:
1 Mn 0.124 0.124 0.124 x16
2 Ru 0.000 0.000 0.500 x4
3 Pt 0.250 0.250 0.750 x4

Output
- Magnetization: 15.80 μB per cell
- E: -8.648 eV/atom
- DFT formation energy: 0.02 eV/atom

---

Entry 3:
Compound: SrBe3Os
Source: Alexandria
Functional: PBE
Structure: optimized geometry

Cell lengths 4.412, 4.412, 4.412 Å; angles 90.00, 90.00, 90.00 degrees
Space group Pm-3m (No. 221)
Unique sites:
1 Sr 0.000 0.000 0.000 x1
2 Be 0.000 0.000 0.500 x3
3 Os 0.500 0.500 0.500 x1

Output
- E above lowest polymorph: 2877 meV per atom
- Magnetization: 0.00 μB per cell
- E: -1.835 eV/atom
- DFT formation energy: 2.98 eV/atom

---

Entry 4:
Compound: BaNiN
Source: Alexandria
Functional: PBE
Structure: optimized geometry

Cell lengths 4.837, 5.114, 5.776 Å; angles 68.28, 87.08, 84.59 degrees
Space group P1 (No. 1)
Unique sites:
1 Ba 0.000 0.000 0.000 x1
2 Ba 0.484 0.323 0.403 x1
3 Ni 0.112 0.731 0.621 x1
4 Ni 0.657 0.654 0.703 x1
5 N 0.320 0.522 0.890 x1
6 N 0.496 0.301 0.919 x1

Output
- Magnetization: 0.00 μB per cell
- E: -5.435 eV/atom
- ΔE_f (raw): -0.092 eV per atom

---

Entry 5:
Compound: NaNbHg
Source: Alexandria
Functional: PBE
Structure: optimized geometry

Cell lengths 5.0052, 5.0052, 6.6833 Å; angles 90.00, 90.00, 120.00 degrees
Space group P-6m2 (No. 187)
Unique sites:
1 Na 0.0000 0.0000 0.0000 x1
2 Na 0.0000 0.0000 0.5000 x1
3 Nb 0.3333 0.6667 0.1761 x2
4 Hg 0.6667 0.3333 0.2302 x2

Output
- E above lowest polymorph: 473 meV per atom
- Magnetization: 0.00 μB per cell
- E: -3.324 eV/atom
- DFT formation energy: 0.57 eV/atom

---

Entry 6:
Compound: ErZrP
Source: Alexandria
Functional: PBE
Structure: optimized geometry

Cell lengths 6.3401, 6.3401, 18.4026 Å; angles 90.00, 90.00, 120.00 degrees
Space group R3 (No. 146, hexagonal axes)
Unique sites:
1 Er 0.0085 0.3368 0.0000 x9
2 Zr 0.0027 0.6810 0.4981 x9
3 P 0.0000 0.0000 0.2400 x3
4 P 0.0000 0.0000 0.7499 x3
5 P 0.0000 0.0000 0.9116 x3

Output
- E above lowest polymorph: 0 meV per atom
- Magnetization: 0.00 μB per cell
- E: -7.004 eV/atom
- DFT formation energy: -0.83 eV/atom